[1]
Density functional theory data (PBE-GGA) for a geometry-optimized ZnPtSe2 structure.

- Final energy: -3.55 eV per atom
- Density: 8.9 g/cm³
- Formation energy without anion corrections: 0.080 eV per formula unit

Cell: 2.881 2.881 9.456 Å, 90.00 90.00 90.00°
Space group P4mm (No. 99)
Asymmetric unit:
Zn 0.000 0.000 0.000
Pt 0.500 0.500 0.177
Se 0.000 0.000 0.392
Se 0.500 0.500 0.766

[2]
Density functional theory data (PBE-GGA) for a geometry-optimized Sr2ThBe2P4 structure.

- Final energy: -5.37 eV per atom
- ΔH_f (0 K): -0.94 eV per atom
- Density: 4.6 g/cm³

Cell: 14.841 3.955 7.306 Å, 90.00 112.01 90.00°
Space group C2/m (No. 12)
Asymmetric unit:
Sr 0.135 0.000 0.076
Th 0.000 0.000 0.500
Be 0.177 0.500 0.480
P 0.027 0.500 0.247
P 0.210 0.000 0.665

[3]
Density functional theory data (PBE-GGA) for a geometry-optimized Cr4FeCoS8 structure.

- Final energy: -6.81 eV per atom
- Density: 4.0 g/cm³
- Formation energy without anion corrections: -8.218 eV per formula unit

Cell: 9.854 9.854 9.854 Å, 90.00 90.00 90.00°
Space group F-43m (No. 216)
Asymmetric unit:
Cr 0.123 0.123 0.123
Fe 0.000 0.000 0.500
Co 0.250 0.250 0.750
S 0.119 0.119 0.881
S 0.133 0.133 0.367

[4]
Density functional theory data (PBE-GGA) for a geometry-optimized InAsPt2 structure.

- Final energy: -5.14 eV per atom
- ΔH_f (0 K): -0.27 eV per atom
- Density: 13.3 g/cm³

Cell: 2.902 4.952 5.031 Å, 90.00 90.00 90.00°
Space group Pmm2 (No. 25)
Asymmetric unit:
In 0.000 0.000 0.000
As 0.500 0.500 0.375
Pt 0.500 0.000 0.501
Pt 0.500 0.500 0.876

[5]
Density functional theory data (PBE-GGA) for a geometry-optimized CsBaTl3 structure.

- Final energy: -1.51 eV per atom
- ΔH_f (0 K): 0.47 eV per atom
- Density: 5.5 g/cm³
- ΔE to the lowest computed polymorph: 0.2047 eV/atom

Cell: 6.426 6.426 6.426 Å, 90.00 90.00 90.00°
Space group Pm-3m (No. 221)
Asymmetric unit:
Cs 0.000 0.000 0.000
Ba 0.500 0.500 0.500
Tl 0.000 0.000 0.500

[6]
Density functional theory data (PBE-GGA) for a geometry-optimized La3OsO structure.

- Final energy: -7.14 eV per atom
- Density: 8.8 g/cm³
- Formation energy without anion corrections: -4.717 eV per formula unit
- ΔE to the lowest computed polymorph: 0.0000 eV/atom

Cell: 4.904 4.904 4.904 Å, 90.00 90.00 90.00°
Space group Pm-3m (No. 221)
Asymmetric unit:
La 0.000 0.000 0.500
Os 0.500 0.500 0.500
O 0.000 0.000 0.000

The lowest density belongs to which entry?
Cr4FeCoS8

Which of these has the lowest density?
Cr4FeCoS8

Among the records above, which one has the lowest final energy?
La3OsO

Look up the final energy of the sixth one.
-7.14 eV per atom